Density functional theory data (GGA-PBE) for a geometry-optimized Zr2AlCu structure.

**E**: -6.14 eV/atom
**Spin magnetization**: 0.00 μB/cell

abc: 7.5495 7.5495 6.0040
angles: 51.05 51.05 90.00
Sites, in units of the cell vectors:
Cu 0.0000 0.0000 0.0000
Cu 0.7500 0.2500 0.5000
Zr 0.6473 0.1250 0.2500
Zr 0.1027 0.6250 0.2500
Zr 0.3750 0.3527 0.7500
Zr 0.8750 0.8973 0.7500
Al 0.5000 0.5000 0.0000
Al 0.2500 0.7500 0.5000

***

Density functional theory data (GGA-PBE) for a geometry-optimized Zr2AlCu structure.

**E**: -6.31 eV/atom
**Spin magnetization**: 0.00 μB/cell

abc: 4.2339 4.2345 5.6114
angles: 67.82 67.84 60.00
Sites, in units of the cell vectors:
Zr 0.9024 0.6653 0.5299
Zr 0.6984 0.4612 0.1420
Al 0.1276 0.8904 0.8544
Cu 0.4819 0.2450 0.7911

***

Density functional theory data (GGA-PBE) for a geometry-optimized Zr2AlCu structure.

**E**: -6.07 eV/atom
**Spin magnetization**: 3.02 μB/cell

abc: 4.7645 4.7645 4.7645
angles: 60.00 60.00 60.00
Site moments in Bohr magnetons follow the coordinates.
Sites, in units of the cell vectors:
Cu 0.7500 0.7500 0.7500  0.11
Zr 0.0000 0.0000 0.0000  0.94
Zr 0.2500 0.2500 0.2500  1.10
Al 0.5000 0.5000 0.5000  0.00

***

Density functional theory data (GGA-PBE) for a geometry-optimized Zr4AlCu structure.

**E**: -6.60 eV/atom
**Spin magnetization**: 0.00 μB/cell

abc: 5.6617 5.6617 5.6617
angles: 60.00 60.00 60.00
Sites, in units of the cell vectors:
Zr 0.8732 0.3756 0.3756
Zr 0.3756 0.3756 0.8732
Zr 0.3756 0.8732 0.3756
Zr 0.3756 0.3756 0.3756
Al 0.7500 0.7500 0.7500
Cu 0.0000 0.0000 0.0000

***

Density functional theory data (GGA-PBE) for a geometry-optimized Zr3Al2Cu9 structure.

**E**: -5.18 eV/atom
**Spin magnetization**: 0.00 μB/cell

abc: 4.1658 7.6137 7.6137
angles: 66.18 74.12 74.12
Sites, in units of the cell vectors:
Zr 0.0000 0.0000 0.0000
Zr 0.7160 0.2840 0.2840
Zr 0.2840 0.7160 0.7160
Al 0.5000 0.3223 0.6777
Al 0.5000 0.6777 0.3223
Cu 0.0000 0.5000 0.5000
Cu 0.6603 0.9833 0.6962
Cu 0.3397 0.0167 0.3038
Cu 0.6603 0.6962 0.9833
Cu 0.3397 0.3038 0.0167
Cu 0.8626 0.8489 0.4258
Cu 0.1374 0.1511 0.5742
Cu 0.8626 0.4258 0.8489
Cu 0.1374 0.5742 0.1511

***

Density functional theory data (GGA-PBE) for a geometry-optimized Zr2AlCu structure.

**E**: -6.28 eV/atom
**Spin magnetization**: 0.00 μB/cell

abc: 4.3014 4.3014 9.6457
angles: 90.00 90.00 120.00
Sites, in units of the cell vectors:
Zr 0.6667 0.3333 0.5956
Zr 0.3333 0.6667 0.0956
Zr 0.3333 0.6667 0.4044
Zr 0.6667 0.3333 0.9044
Al 0.0000 0.0000 0.2500
Al 0.0000 0.0000 0.7500
Cu 0.6667 0.3333 0.2500
Cu 0.3333 0.6667 0.7500

***

Density functional theory data (GGA-PBE) for a geometry-optimized ZrAl6Cu structure.

**E**: -4.23 eV/atom
**Spin magnetization**: 0.00 μB/cell

abc: 3.7300 3.7300 11.0260
angles: 90.00 90.00 90.00
Sites, in units of the cell vectors:
Zr 0.0000 0.0000 0.5000
Al 0.5000 0.5000 0.1143
Al 0.5000 0.5000 0.8857
Al 0.0000 0.5000 0.2985
Al 0.5000 0.0000 0.2985
Al 0.0000 0.5000 0.7015
Al 0.5000 0.0000 0.7015
Cu 0.0000 0.0000 0.0000

***

Density functional theory data (GGA-PBE) for a geometry-optimized ZrAl7Cu5 structure.

**E**: -4.56 eV/atom
**Spin magnetization**: 0.00 μB/cell

abc: 5.0940 6.5979 6.5979
angles: 81.90 67.29 67.29
Sites, in units of the cell vectors:
Zr 0.9937 0.0063 0.0063
Al 0.6476 0.3524 0.3524
Al 0.3391 0.6609 0.6609
Al 0.9939 0.3499 0.6623
Al 0.9939 0.6623 0.3499
Al 0.2733 0.2267 0.2267
Al 0.5085 0.7968 0.1862
Al 0.5085 0.1862 0.7968
Cu 0.5004 0.0016 0.4941
Cu 0.0038 0.0016 0.4941
Cu 0.5004 0.4941 0.0016
Cu 0.0038 0.4941 0.0016
Cu 0.7331 0.7669 0.7669

***

Sequential mass density output: 5.79; 5.78; 5.93; 5.89; 7.15; 5.87; 3.43; 5.26 Mg/m³
Sequential formation energy from the elements output: 95; -78; 165; 403; -182; -48; 157; -312 meV/atom